First-principles (SCAN) data for a crystal of TeSe2 relaxed with PBEsol, as listed in Alexandria via LeMat-Bulk.

Lattice parameters (Å, degrees): 7.1508 4.0509 5.4193 90.00 91.29 90.00
With the nearest neighbours (Å) after each atom.
Space group C2 (No. 5)
Inequivalent atoms, fractional coordinates:
Te: 0.0000 0.0000 0.0000 x2  2 Se 2.68
Se: 0.1268 0.4234 0.6633 x4  1 Se 2.51, 1 Te 2.68

Results
As for the energy above the most stable polymorph in this dataset: 28 meV per atom. As for the formation energy without anion corrections: -0.0003 eV per atom. Its crystal system is monoclinic.

First-principles (SCAN) data for a crystal of KTl3Br relaxed with PBEsol, as listed in Alexandria via LeMat-Bulk.

Lattice parameters (Å, degrees): 6.1090 6.1090 6.1090 90.00 90.00 90.00
With the nearest neighbours (Å) after each atom.
Space group Pm-3m (No. 221)
Inequivalent atoms, fractional coordinates:
K: 0.0000 0.0000 0.0000 x1  6 Tl 3.05
Tl: 0.0000 0.0000 0.5000 x3  2 K 3.05
Br: 0.5000 0.5000 0.5000 x1  12 Tl 4.32

Results
As for the density of states at the Fermi level: 3.00 states/eV per cell. As for the formation energy without anion corrections: 0.3728 eV per atom. Its crystal system is cubic.

First-principles (SCAN) data for a crystal of AgAuSe2N relaxed with PBEsol, as listed in Alexandria via LeMat-Bulk.

Lattice parameters (Å, degrees): 5.0730 5.0730 3.8324 90.00 90.00 90.00
With the nearest neighbours (Å) after each atom.
Space group P4/mmm (No. 123)
Inequivalent atoms, fractional coordinates:
Ag: 0.0000 0.0000 0.0000 x1  2 N 1.92
Au: 0.5000 0.5000 0.5000 x1  8 Se 3.18
Se: 0.0000 0.5000 0.0000 x2  2 Ag 2.54
N: 0.0000 0.0000 0.5000 x1  2 Ag 1.92

Results
As for the density of states at the Fermi level: 3.19 states/eV per cell. As for the formation energy without anion corrections: 1.2779 eV per atom. Its crystal system is tetragonal.

First-principles (SCAN) data for a crystal of Si3Ni relaxed with PBEsol, as listed in Alexandria via LeMat-Bulk.

Lattice parameters (Å, degrees): 2.6580 2.6580 8.3139 90.00 90.00 120.00
With the nearest neighbours (Å) after each atom.
Space group P-6m2 (No. 187)
Inequivalent atoms, fractional coordinates:
Si: 0.0000 0.0000 0.0000 x1  12 Si 2.66-2.76
Si: 0.3333 0.6667 0.2764 x2  3 Ni 2.41, 6 Si 2.66
Ni: 0.0000 0.0000 0.5000 x1  6 Si 2.41, 6 Ni 2.66

Results
As for the density of states at the Fermi level: 1.73 states/eV per cell. As for the formation energy without anion corrections: 0.2506 eV per atom. Its crystal system is hexagonal.

First-principles (SCAN) data for a crystal of TiBe2Cr relaxed with PBEsol, as listed in Alexandria via LeMat-Bulk.

Lattice parameters (Å, degrees): 5.6200 5.6200 5.6200 90.00 90.00 90.00
With the nearest neighbours (Å) after each atom.
Space group Fm-3m (No. 225)
Inequivalent atoms, fractional coordinates:
Ti: 0.0000 0.0000 0.0000 x4  8 Be 2.43
Be: 0.2500 0.2500 0.2500 x8  4 Cr 2.43, 4 Ti 2.43
Cr: 0.0000 0.0000 0.5000 x4  8 Be 2.43

Results
For the formation energy, the calculation gives -0.082 eV/atom. As for the density of states at the Fermi level: 8.76 states/eV per cell. Its crystal system is cubic.

First-principles (SCAN) data for a crystal of AlPtC2Se relaxed with PBEsol, as listed in Alexandria via LeMat-Bulk.

Lattice parameters (Å, degrees): 3.7649 3.7649 5.2505 90.00 90.00 90.00
With the nearest neighbours (Å) after each atom.
Space group P4/mmm (No. 123)
Inequivalent atoms, fractional coordinates:
Al: 0.0000 0.0000 0.0000 x1  2 Se 2.63, 4 Pt 2.66
Pt: 0.5000 0.5000 0.0000 x1  4 Al 2.66
C: 0.0000 0.5000 0.5000 x2  2 Se 1.88
Se: 0.0000 0.0000 0.5000 x1  4 C 1.88

Results
As for the density of states at the Fermi level: 2.39 states/eV per cell. As for the formation energy without anion corrections: 2.1956 eV per atom. Its crystal system is tetragonal.

First-principles (SCAN) data for a crystal of Mg2ScZn relaxed with PBEsol, as listed in Alexandria via LeMat-Bulk.

Lattice parameters (Å, degrees): 4.1517 4.1517 4.5748 90.00 90.00 90.00
With the nearest neighbours (Å) after each atom.
Space group P4/mmm (No. 123)
Inequivalent atoms, fractional coordinates:
Mg: 0.0000 0.5000 0.0000 x2  4 Mg 2.94, 4 Sc 3.09, 4 Zn 3.09
Sc: 0.0000 0.0000 0.5000 x1  4 Zn 2.94, 8 Mg 3.09
Zn: 0.5000 0.5000 0.5000 x1  4 Sc 2.94, 8 Mg 3.09

Results
For the formation energy, the calculation gives -0.159 eV/atom. As for the density of states at the Fermi level: 2.39 states/eV per cell. Its crystal system is tetragonal.

First-principles (SCAN) data for a crystal of AgAu5 relaxed with PBEsol, as listed in Alexandria via LeMat-Bulk.

Lattice parameters (Å, degrees): 4.9395 4.9395 4.7861 90.00 90.00 120.00
With the nearest neighbours (Å) after each atom.
Space group P-62m (No. 189)
Inequivalent atoms, fractional coordinates:
Ag: 0.0000 0.0000 0.0000 x1  12 Au 2.85-2.91
Au: 0.0000 0.3335 0.5000 x3  10 Au 2.85-2.90, 2 Ag 2.91
Au: 0.3333 0.6667 0.0000 x2  3 Ag 2.85, 9 Au 2.85-2.90

Results
For the formation energy, the calculation gives -0.033 eV/atom. As for the density of states at the Fermi level: 1.25 states/eV per cell. As for the energy above the most stable polymorph in this dataset: 8 meV per atom. Its crystal system is hexagonal.

First-principles (SCAN) data for a crystal of NaCa3F relaxed with PBEsol, as listed in Alexandria via LeMat-Bulk.

Lattice parameters (Å, degrees): 5.2711 5.2711 5.2711 90.00 90.00 90.00
With the nearest neighbours (Å) after each atom.
Space group Pm-3m (No. 221)
Inequivalent atoms, fractional coordinates:
Na: 0.0000 0.0000 0.0000 x1  12 Ca 3.73
Ca: 0.0000 0.5000 0.5000 x3  2 F 2.64
F: 0.5000 0.5000 0.5000 x1  6 Ca 2.64

Results
As for the density of states at the Fermi level: 3.04 states/eV per cell. As for the formation energy without anion corrections: -0.9621 eV per atom. Its crystal system is cubic.

First-principles (SCAN) data for a crystal of K2Ag2Pb relaxed with PBEsol, as listed in Alexandria via LeMat-Bulk.

Lattice parameters (Å, degrees): 4.5591 4.5591 14.4324 90.00 90.00 90.00
With the nearest neighbours (Å) after each atom.
Space group I4/mmm (No. 139)
Inequivalent atoms, fractional coordinates:
K: 0.0000 0.5000 0.2500 x4  4 K 3.22, 4 Ag 3.25
Ag: 0.0000 0.0000 0.0895 x4  1 Ag 2.58
Pb: 0.0000 0.0000 0.5000 x2  8 Ag 3.47

Results
For the formation energy, the calculation gives 0.367 eV/atom. As for the density of states at the Fermi level: 5.94 states/eV per cell. Its crystal system is tetragonal.

First-principles (SCAN) data for a crystal of TaW relaxed with PBEsol, as listed in Alexandria via LeMat-Bulk.

Lattice parameters (Å, degrees): 4.1527 4.1527 5.1830 90.00 90.00 120.00
With the nearest neighbours (Å) after each atom.
Space group P6_3/mmc (No. 194)
Inequivalent atoms, fractional coordinates:
Ta: 0.3333 0.6667 0.2500 x2  6 W 2.73
W: 0.0000 0.0000 0.0000 x2  2 W 2.59, 6 Ta 2.73

Results
For the formation energy, the calculation gives 0.920 eV/atom. As for the density of states at the Fermi level: 3.30 states/eV per cell. Its crystal system is hexagonal.

First-principles (SCAN) data for a crystal of MgF2 relaxed with PBEsol, as listed in Alexandria via LeMat-Bulk.

Lattice parameters (Å, degrees): 4.9499 4.9499 4.9499 90.00 90.00 90.00
With the nearest neighbours (Å) after each atom.
Space group Pa-3 (No. 205)
Inequivalent atoms, fractional coordinates:
Mg: 0.0000 0.0000 0.0000 x4  6 F 2.02
F: 0.1596 0.6596 0.8404 x8  3 Mg 2.02

Results
As for the density of states at the Fermi level: 0.00 states/eV per cell. As for the formation energy without anion corrections: -3.7512 eV per atom. Its crystal system is cubic.